MnZnF4 | PBE+U | relaxed

The crystal system is monoclinic. As for the total DFT energy (no corrections): -62.48 eV for the cell shown. The excess energy over the best structure of this formula in the dataset comes out at 0 meV per atom.

It has space group P2_1/c (No. 14), with a = 5.8587 Å, b = 4.8843 Å, c = 5.8694 Å, α = 90.00°, β = 112.25° and γ = 90.00°. Symmetry generates all atoms from Mn at (0.0000, 0.0000, 0.0000), Zn at (0.5000, 0.0000, 0.5000), F at (0.1590, 0.1855, 0.3572) and F at (0.3542, 0.7049, 0.6613).